No. 1
Entry from Alexandria: a relaxed Ta2TcBr crystal (PBE).

a b c (Å): 3.021 3.021 8.959
angles (deg): 90.00 90.00 116.09
Positions (direct):
1 Br 0.500 0.500 0.750
2 Tc 0.500 0.500 0.250
3 Ta 0.000 0.000 0.019
4 Ta 0.000 0.000 0.481

**Relative energy among the computed polymorphs**: 251 meV/atom
**Formation energy (no corrections)**: 0.31 eV per atom
**Crystal system**: orthorhombic
**Space-group type**: Cmmm


No. 2
Entry from Alexandria: a relaxed In2HgTeN crystal (PBE).

a b c (Å): 4.934 4.827 4.934
angles (deg): 90.00 90.00 90.00
Positions (direct):
1 In 0.500 0.000 0.000
2 In 0.000 0.000 0.500
3 N 0.000 0.000 0.000
4 Te 0.500 0.500 0.500
5 Hg 0.000 0.500 0.000

**Formation energy (no corrections)**: 0.38 eV per atom
**Crystal system**: tetragonal
**Space-group type**: P4/mmm


No. 3
Entry from Alexandria: a relaxed Fe2CuHPt crystal (PBE).

a b c (Å): 3.705 3.705 3.916
angles (deg): 90.00 90.00 90.00
Last column: magnetic moment on the atom in μB.
Positions (direct):
1 Pt 0.500 0.500 0.500  0.34
2 Fe 0.500 0.000 0.000  2.65
3 Fe 0.000 0.500 0.000  2.65
4 Cu 0.000 0.000 0.500  0.12
5 H 0.000 0.000 0.000  -0.03

**Relative energy among the computed polymorphs**: 0 meV/atom
**Crystal system**: tetragonal
**Space-group type**: P4/mmm


no.,calculated total energy (eV/atom),calculated volume (Å³ per cell)
1,-8.622,73.4
2,-3.068,117.5
3,-6.114,53.8